Entry 1:
{
  "formula": "CrCuPt2",
  "functional": "PBEsol",
  "state": "optimized geometry",
  "formation_energy_mev_per_atom": -177.1,
  "spacegroup": "No. 47",
  "volume_a3_per_atom": 13.47,
  "cell": [[-1.958, 1.950, 0.143], [-2.067, -1.914, -2.211], [-2.216, -2.538, 4.268]],
  "species": ["Cr", "Pt", "Pt", "Cu"],
  "frac_coords": [[0.500, 0.500, 0.000], [0.000, 0.000, 0.750], [0.000, 0.000, 0.250], [0.500, 0.500, 0.500]]
}



Entry 2:
{
  "formula": "CrCu2Pt",
  "functional": "PBEsol",
  "state": "optimized geometry",
  "formation_energy_mev_per_atom": 59.5,
  "spacegroup": "No. 12",
  "volume_a3_per_atom": 12.59,
  "cell": [[2.619, 0.000, 0.000], [0.000, 4.499, 0.066], [-1.310, -0.818, 4.261]],
  "species": ["Cr", "Cu", "Cu", "Pt"],
  "frac_coords": [[0.000, 0.500, 0.000], [0.252, 0.259, 0.503], [0.748, 0.741, 0.497], [0.500, 0.000, 0.000]]
}



Entry 3:
{
  "formula": "TiCrCuPt2",
  "functional": "PBEsol",
  "state": "optimized geometry",
  "formation_energy_mev_per_atom": 844.2,
  "spacegroup": "No. 123",
  "volume_a3_per_atom": 17.61,
  "cell": [[4.218, 0.000, 0.000], [0.000, 4.569, 0.000], [0.000, 0.000, 4.569]],
  "species": ["Cr", "Cu", "Pt", "Pt", "Ti"],
  "frac_coords": [[0.500, 0.500, 0.500], [0.000, 0.000, 0.000], [0.000, 0.000, 0.500], [0.000, 0.500, 0.000], [0.500, 0.000, 0.000]]
}



Entry 4:
{
  "formula": "Cr2CuRe",
  "functional": "PBEsol",
  "state": "optimized geometry",
  "e_above_lowest_polymorph_mev_per_atom": 152,
  "formation_energy_mev_per_atom": 383.8,
  "spacegroup": "No. 99",
  "volume_a3_per_atom": 12.40,
  "cell": [[2.522, 0.000, 0.000], [0.000, 2.522, 0.000], [0.000, 0.000, 7.794]],
  "species": ["Cr", "Cr", "Cu", "Re"],
  "frac_coords": [[0.000, 0.000, 0.012], [0.500, 0.500, 0.247], [0.000, 0.000, 0.490], [0.500, 0.500, 0.751]]
}



Entry 5:
{
  "formula": "CrCu2Re",
  "functional": "PBEsol",
  "state": "optimized geometry",
  "e_above_lowest_polymorph_mev_per_atom": 0,
  "formation_energy_mev_per_atom": 276.2,
  "spacegroup": "No. 123",
  "volume_a3_per_atom": 12.09,
  "cell": [[3.469, 0.000, 0.000], [0.000, 3.469, 0.000], [0.000, 0.000, 4.020]],
  "species": ["Cr", "Cu", "Cu", "Re"],
  "frac_coords": [[0.000, 0.000, 0.500], [0.000, 0.500, 0.000], [0.500, 0.000, 0.000], [0.500, 0.500, 0.500]]
}



Entry 6:
{
  "formula": "Cr2CuRe",
  "functional": "PBEsol",
  "state": "optimized geometry",
  "e_above_lowest_polymorph_mev_per_atom": 0,
  "formation_energy_mev_per_atom": 231.9,
  "spacegroup": "No. 6",
  "volume_a3_per_atom": 12.22,
  "cell": [[2.500, 0.000, 0.013], [0.000, 4.066, 0.000], [-0.994, 0.000, 4.805]],
  "species": ["Cr", "Cr", "Cu", "Re"],
  "frac_coords": [[0.963, 0.000, 0.015], [0.744, 0.500, 0.241], [0.569, 0.000, 0.496], [0.225, 0.500, 0.748]]
}



Entry 7:
{
  "formula": "CrCu2Re",
  "functional": "PBEsol",
  "state": "optimized geometry",
  "e_above_lowest_polymorph_mev_per_atom": 26,
  "formation_energy_mev_per_atom": 301.9,
  "spacegroup": "No. 119",
  "volume_a3_per_atom": 12.14,
  "cell": [[3.668, 0.000, 0.000], [0.000, 3.671, 0.000], [-1.834, -1.836, 3.607]],
  "species": ["Cr", "Cu", "Cu", "Re"],
  "frac_coords": [[0.750, 0.250, 0.500], [0.000, 0.000, 0.000], [0.250, 0.750, 0.500], [0.500, 0.500, 0.000]]
}



Entry 8:
{
  "formula": "CrCu2Re",
  "functional": "PBEsol",
  "state": "optimized geometry",
  "e_above_lowest_polymorph_mev_per_atom": 275,
  "formation_energy_mev_per_atom": 551.6,
  "spacegroup": "No. 225",
  "volume_a3_per_atom": 12.57,
  "cell": [[-3.743, -1.618, 0.732], [-1.388, -3.141, -2.317], [-0.334, -3.791, 1.636]],
  "species": ["Re", "Cu", "Cu", "Cr"],
  "frac_coords": [[0.500, 0.500, 0.500], [0.250, 0.250, 0.250], [0.750, 0.750, 0.750], [0.000, 0.000, 0.000]]
}



Entry 9:
{
  "formula": "Cr2CuRe",
  "functional": "PBEsol",
  "state": "optimized geometry",
  "e_above_lowest_polymorph_mev_per_atom": 27,
  "formation_energy_mev_per_atom": 259.2,
  "spacegroup": "No. 12",
  "volume_a3_per_atom": 12.27,
  "cell": [[2.491, 0.008, 0.000], [-0.783, 4.737, 0.000], [-0.854, -2.372, 4.158]],
  "species": ["Cr", "Cr", "Cu", "Re"],
  "frac_coords": [[0.500, 0.500, 0.500], [0.000, 0.000, 0.500], [0.000, 0.500, 0.000], [0.500, 0.000, 0.000]]
}



Entry 10:
{
  "formula": "CrCu2Re",
  "functional": "PBEsol",
  "state": "optimized geometry",
  "e_above_lowest_polymorph_mev_per_atom": 259,
  "formation_energy_mev_per_atom": 535.5,
  "spacegroup": "No. 123",
  "volume_a3_per_atom": 12.35,
  "cell": [[2.543, 0.000, 0.000], [0.000, 4.407, 0.000], [0.000, 0.000, 4.407]],
  "species": ["Cr", "Cu", "Cu", "Re"],
  "frac_coords": [[0.500, 0.000, 0.000], [0.000, 0.000, 0.500], [0.000, 0.500, 0.000], [0.500, 0.500, 0.500]]
}



Entry 11:
{
  "formula": "CrCuRh2",
  "functional": "PBEsol",
  "state": "optimized geometry",
  "formation_energy_mev_per_atom": 59.2,
  "spacegroup": "No. 12",
  "volume_a3_per_atom": 12.50,
  "cell": [[-1.631, 1.991, 0.471], [-2.502, -3.523, -1.033], [0.485, -0.669, 4.501]],
  "species": ["Cr", "Cu", "Rh", "Rh"],
  "frac_coords": [[0.000, 0.000, 0.500], [0.500, 0.000, 0.000], [0.745, 0.491, 0.746], [0.255, 0.509, 0.254]]
}



Entry 12:
{
  "formula": "Cr2CuRh",
  "functional": "PBEsol",
  "state": "optimized geometry",
  "formation_energy_mev_per_atom": 183.2,
  "spacegroup": "No. 119",
  "volume_a3_per_atom": 12.19,
  "cell": [[3.718, 0.000, 0.000], [0.000, 3.718, 0.000], [-1.859, -1.859, 3.527]],
  "species": ["Cr", "Cr", "Cu", "Rh"],
  "frac_coords": [[0.000, 0.000, 0.000], [0.750, 0.250, 0.500], [0.500, 0.500, 0.000], [0.250, 0.750, 0.500]]
}



Entry 13:
{
  "formula": "CrCuRh2",
  "functional": "PBEsol",
  "state": "optimized geometry",
  "formation_energy_mev_per_atom": 97.5,
  "spacegroup": "No. 65",
  "volume_a3_per_atom": 12.70,
  "cell": [[-0.643, 1.110, 2.418], [-4.081, 0.693, -1.403], [-0.179, -3.987, 1.782]],
  "species": ["Cr", "Cu", "Rh", "Rh"],
  "frac_coords": [[0.500, 0.000, 0.000], [0.500, 0.500, 0.500], [0.000, 0.500, 0.000], [0.000, 0.000, 0.500]]
}



Entry 14:
{
  "formula": "CrCuRh2",
  "functional": "PBEsol",
  "state": "optimized geometry",
  "formation_energy_mev_per_atom": -20.8,
  "spacegroup": "No. 47",
  "volume_a3_per_atom": 12.45,
  "cell": [[2.654, 0.000, 0.000], [0.000, 3.513, 0.000], [0.000, 0.000, 5.342]],
  "species": ["Cr", "Rh", "Rh", "Cu"],
  "frac_coords": [[0.500, 0.500, 0.000], [0.000, 0.000, 0.753], [0.000, 0.000, 0.247], [0.500, 0.500, 0.500]]
}



Entry 15:
{
  "formula": "Cr2CuRh",
  "functional": "PBEsol",
  "state": "optimized geometry",
  "formation_energy_mev_per_atom": 151.7,
  "spacegroup": "No. 99",
  "volume_a3_per_atom": 12.07,
  "cell": [[-0.638, 2.563, -1.241], [0.134, -1.243, -2.637], [-5.527, -1.230, 0.299]],
  "species": ["Cr", "Cr", "Cu", "Rh"],
  "frac_coords": [[0.000, 0.000, 0.021], [0.500, 0.500, 0.241], [0.000, 0.000, 0.486], [0.500, 0.500, 0.753]]
}



Entry 16:
{
  "formula": "CrCuRh2",
  "functional": "PBEsol",
  "state": "optimized geometry",
  "formation_energy_mev_per_atom": -25.8,
  "spacegroup": "No. 166",
  "volume_a3_per_atom": 12.53,
  "cell": [[2.626, 0.000, 0.000], [1.313, 2.274, 0.000], [1.313, 0.758, 8.397]],
  "species": ["Cr", "Rh", "Rh", "Cu"],
  "frac_coords": [[0.500, 0.500, 0.500], [0.247, 0.247, 0.259], [0.753, 0.753, 0.741], [0.000, 0.000, 0.000]]
}



Entry 17:
{
  "formula": "ScCrCu2Rh",
  "functional": "PBEsol",
  "state": "optimized geometry",
  "formation_energy_mev_per_atom": 1216.4,
  "spacegroup": "No. 123",
  "volume_a3_per_atom": 18.72,
  "cell": [[-4.339, -0.505, 0.867], [-0.642, -1.704, -4.207], [0.809, -4.223, 1.588]],
  "species": ["Sc", "Cr", "Rh", "Cu", "Cu"],
  "frac_coords": [[0.000, 0.000, 0.000], [0.500, 0.500, 0.500], [0.500, 0.000, 0.000], [0.000, 0.000, 0.500], [0.000, 0.500, 0.000]]
}



Entry 18:
{
  "formula": "CrCu2Ru",
  "functional": "PBEsol",
  "state": "optimized geometry",
  "formation_energy_mev_per_atom": 224.0,
  "spacegroup": "No. 99",
  "volume_a3_per_atom": 12.18,
  "cell": [[-1.243, -2.256, 1.522], [-0.554, -1.429, -2.570], [4.846, -2.455, 0.320]],
  "species": ["Cr", "Cu", "Cu", "Ru"],
  "frac_coords": [[0.500, 0.500, 0.741], [0.000, 0.000, 0.011], [0.500, 0.500, 0.231], [0.000, 0.000, 0.518]]
}



Entry 19:
{
  "formula": "CrCu2Ru",
  "functional": "PBEsol",
  "state": "optimized geometry",
  "formation_energy_mev_per_atom": 247.3,
  "spacegroup": "No. 139",
  "volume_a3_per_atom": 11.94,
  "cell": [[-2.681, -1.292, 1.738], [0.895, -3.179, -0.983], [3.193, 1.870, 2.900]],
  "species": ["Cr", "Cu", "Cu", "Ru"],
  "frac_coords": [[0.000, 0.000, 0.000], [0.750, 0.250, 0.500], [0.250, 0.750, 0.500], [0.500, 0.500, 0.000]]
}



Entry 20:
{
  "formula": "CrCu2Ru",
  "functional": "PBEsol",
  "state": "optimized geometry",
  "formation_energy_mev_per_atom": 444.4,
  "spacegroup": "No. 225",
  "volume_a3_per_atom": 12.43,
  "cell": [[-1.069, -0.218, 3.980], [0.083, -3.629, 1.963], [2.874, -0.728, 2.871]],
  "species": ["Cr", "Cu", "Cu", "Ru"],
  "frac_coords": [[0.000, 0.000, 0.000], [0.250, 0.250, 0.250], [0.750, 0.750, 0.750], [0.500, 0.500, 0.500]]
}